Material: Y2Cu2Pb
Method: DFT, GGA-PBE
State: relaxed

Lattice parameters (Å, degrees): 5.451 5.451 5.577 60.74 60.74 90.00
Atoms (fractional coordinates):
Y: 0.250 0.750 0.500
Y: 0.750 0.250 0.500
Cu: 0.639 0.639 0.721
Cu: 0.361 0.361 0.279
Pb: 0.000 0.000 0.000

## Properties
For the magnetization, the calculation gives 0.00 μB/f.u. The calculation puts the energy at -5.058 eV/atom. For the calculated formation energy, the calculation gives -92 meV/atom.